1:
A relaxed structure of DyHo4Pu. Source: Alexandria via LeMat-Bulk, functional PBE.

a = 8.645 Å, b = 8.645 Å, c = 8.645 Å
α = 98.67°, β = 98.67°, γ = 134.31°
Sites, in units of the cell vectors:
Dy1 0.000 0.000 0.000
Dy2 0.750 0.250 0.500
Ho1 0.023 0.775 0.248
Ho2 0.035 0.308 0.273
Ho3 0.035 0.763 0.727
Ho4 0.058 0.285 0.773
Ho5 0.513 0.285 0.227
Ho6 0.525 0.273 0.748
Ho7 0.525 0.777 0.252
Ho8 0.527 0.775 0.752
Pu1 0.273 0.773 0.500
Pu2 0.523 0.523 0.000

Computed properties:
Crystal system ... tetragonal

=====

2:
A relaxed structure of DyHo4Pu. Source: Alexandria via LeMat-Bulk, functional PBE.

a = 3.486 Å, b = 6.082 Å, c = 9.263 Å
α = 77.45°, β = 79.21°, γ = 73.36°
Sites, in units of the cell vectors:
Dy1 0.000 0.000 0.000
Ho1 0.334 0.503 0.829
Ho2 0.335 0.993 0.337
Ho3 0.665 0.007 0.663
Ho4 0.666 0.497 0.171
Pu1 0.000 0.500 0.500

Computed properties:
Crystal system ... triclinic

=====

The winner here is 2, beating the second structure by 645 meV per atom.

=====

1:
A relaxed structure of Dy8Ho2Pu. Source: Alexandria via LeMat-Bulk, functional PBE.

a = 8.804 Å, b = 8.804 Å, c = 6.643 Å
α = 100.72°, β = 100.72°, γ = 43.79°
Sites, in units of the cell vectors:
Dy1 0.092 0.092 0.912
Dy2 0.155 0.676 0.605
Dy3 0.304 0.304 0.199
Dy4 0.324 0.845 0.395
Dy5 0.676 0.155 0.605
Dy6 0.696 0.696 0.801
Dy7 0.845 0.324 0.395
Dy8 0.908 0.908 0.088
Ho1 0.255 0.255 0.685
Ho2 0.745 0.745 0.315
Pu1 0.500 0.500 0.000

Computed properties:
Crystal system ... monoclinic

=====

2:
A relaxed structure of Dy8Ho2Pu. Source: Alexandria via LeMat-Bulk, functional PBE.

a = 9.333 Å, b = 9.333 Å, c = 7.885 Å
α = 104.70°, β = 104.70°, γ = 30.92°
Sites, in units of the cell vectors:
Dy1 0.044 0.044 0.230
Dy2 0.136 0.136 0.680
Dy3 0.320 0.320 0.591
Dy4 0.410 0.410 0.049
Dy5 0.590 0.590 0.951
Dy6 0.680 0.680 0.409
Dy7 0.864 0.864 0.320
Dy8 0.956 0.956 0.770
Ho1 0.227 0.227 0.136
Ho2 0.773 0.773 0.864
Pu1 0.500 0.500 0.500

Computed properties:
Crystal system ... monoclinic

=====

The winner here is 2, beating the second structure by 158 meV per atom.

=====

1:
A relaxed structure of DyHoRh. Source: Alexandria via LeMat-Bulk, functional PBE.

a = 14.416 Å, b = 3.794 Å, c = 8.069 Å
α = 90.00°, β = 90.00°, γ = 90.00°
Sites, in units of the cell vectors:
Dy1 0.042 0.000 0.189
Dy2 0.250 0.000 0.846
Dy3 0.458 0.000 0.189
Dy4 0.542 0.000 0.811
Dy5 0.750 0.000 0.154
Dy6 0.958 0.000 0.811
Ho1 0.117 0.500 0.560
Ho2 0.250 0.500 0.199
Ho3 0.383 0.500 0.560
Ho4 0.617 0.500 0.440
Ho5 0.750 0.500 0.801
Ho6 0.883 0.500 0.440
Rh1 0.101 0.500 0.928
Rh2 0.250 0.000 0.461
Rh3 0.399 0.500 0.928
Rh4 0.601 0.500 0.072
Rh5 0.750 0.000 0.539
Rh6 0.899 0.500 0.072

Computed properties:
Crystal system ... orthorhombic

=====

2:
A relaxed structure of DyHoRh. Source: Alexandria via LeMat-Bulk, functional PBE.

a = 7.070 Å, b = 7.070 Å, c = 5.787 Å
α = 100.81°, β = 100.81°, γ = 33.93°
Sites, in units of the cell vectors:
Dy1 0.089 0.089 0.300
Dy2 0.911 0.911 0.700
Ho1 0.342 0.342 0.178
Ho2 0.658 0.658 0.822
Rh1 0.273 0.273 0.680
Rh2 0.727 0.727 0.320

Computed properties:
Crystal system ... monoclinic

=====

3:
A relaxed structure of DyHoRh. Source: Alexandria via LeMat-Bulk, functional PBE.

a = 6.742 Å, b = 6.742 Å, c = 6.742 Å
α = 150.42°, β = 150.42°, γ = 42.33°
Sites, in units of the cell vectors:
Dy1 0.000 0.000 0.000
Ho1 0.738 0.738 0.000
Rh1 0.368 0.368 0.000

Computed properties:
Crystal system ... tetragonal

=====

The winner here is 1, beating the second structure by 66 meV per atom.